! NaYCd (PBE, optimized geometry); values from VASP
&SYSTEM
  ibrav = 0, nat = 3, ntyp = 3
/
ATOMIC_SPECIES
Cd 112.41 Cd.upf
Y 88.91 Y.upf
Na 22.99 Na.upf
CELL_PARAMETERS angstrom
3.7553 -1.9711 2.8946
1.6590 2.5485 4.1375
-1.0471 -1.7787 4.7017
ATOMIC_POSITIONS angstrom
Cd 1.0918 -0.3003 2.9334
Y 0.0000 0.0000 0.0000
Na 3.2755 -0.9009 8.8003
! Total DFT energy (no corrections)   -2.421 eV/atom
! Space group   F-43m (216)

=====

! GaOsAu2 (PBE, optimized geometry); values from VASP
&SYSTEM
  ibrav = 0, nat = 4, ntyp = 3
/
ATOMIC_SPECIES
Au 196.97 Au.upf
Os 190.23 Os.upf
Ga 69.72 Ga.upf
CELL_PARAMETERS angstrom
-0.2877 1.7071 4.1788
-4.0446 0.5207 1.9568
-1.2014 -2.6630 3.4532
ATOMIC_POSITIONS angstrom
Au -4.1503 -0.3264 7.1915
Au 0.0000 0.0000 0.0000
Os -1.3834 -0.1088 2.3972
Ga -2.7669 -0.2176 4.7943
! Total DFT energy (no corrections)   -4.791 eV/atom
! Space group   F-43m (216)

=====

! LaHo2S4 (PBE, optimized geometry); values from VASP
&SYSTEM
  ibrav = 0, nat = 14, ntyp = 3
/
ATOMIC_SPECIES
Ho 164.93 Ho.upf
S 32.06 S.upf
La 138.91 La.upf
CELL_PARAMETERS angstrom
4.9017 4.4761 1.1758
-5.3935 -3.1966 2.4772
7.7782 -9.6840 4.4388
ATOMIC_POSITIONS angstrom
Ho -1.0770 -1.0027 2.2899
Ho 1.7841 -4.5648 3.9226
Ho 5.5024 -3.8397 4.1692
Ho 8.3635 -7.4018 5.8019
S 6.0320 -6.2922 5.0994
S 2.2121 -7.1064 4.8704
S 5.0744 -1.2982 3.2214
S 1.2544 -2.1124 2.9924
S 3.8891 -4.8420 2.2194
S 3.0318 1.2449 2.0558
S 0.0000 0.0000 0.0000
S 4.2547 -9.6494 6.0360
La -2.2026 -4.6887 3.4293
La 9.4890 -3.7158 4.6624
! Total DFT energy (no corrections)   -6.498 eV/atom
! Space group   Cmcm (63)

=====

! PaZn2 (PBE, optimized geometry); values from VASP
&SYSTEM
  ibrav = 0, nat = 12, ntyp = 2
/
ATOMIC_SPECIES
Pa 231.04 Pa.upf
Zn 65.41 Zn.upf
CELL_PARAMETERS angstrom
5.6307 0.0000 0.0000
-2.8153 4.8763 0.0000
0.0000 0.0000 8.1952
ATOMIC_POSITIONS angstrom
Pa 0.0000 3.2509 3.3951
Pa 2.8154 1.6254 4.8001
Pa 2.8154 1.6254 7.4927
Pa 0.0000 3.2509 0.7025
Zn 1.3676 4.0404 6.1464
Zn -1.3676 4.0404 6.1464
Zn 0.0000 0.0000 4.0976
Zn 2.8154 3.2046 2.0488
Zn 4.1829 0.8359 2.0488
Zn 0.0000 1.6718 6.1464
Zn 0.0000 0.0000 0.0000
Zn 1.4478 0.8359 2.0488
! Total DFT energy (no corrections)   -4.105 eV/atom
! Space group   P6_3/mmc (194)
! E_form   -0.3 eV/f.u.

=====

! NbCoGeAu (PBE, optimized geometry); values from VASP
&SYSTEM
  ibrav = 0, nat = 4, ntyp = 4
/
ATOMIC_SPECIES
Nb 92.91 Nb.upf
Co 58.93 Co.upf
Au 196.97 Au.upf
Ge 72.64 Ge.upf
CELL_PARAMETERS angstrom
0.0000 3.1632 3.1632
3.1632 0.0000 3.1632
3.1632 3.1632 0.0000
ATOMIC_POSITIONS angstrom
Nb 3.1632 3.1632 3.1632
Co 4.7447 4.7447 4.7447
Au 1.5816 1.5816 1.5816
Ge 0.0000 0.0000 0.0000
! Total DFT energy (no corrections)   -6.062 eV/atom
! Energy above the lowest structure with this stoichiometry   150 meV per atom
! Space group   F-43m (216)

=====

! SrErAuSeS2 (PBE, optimized geometry); values from VASP
&SYSTEM
  ibrav = 0, nat = 12, ntyp = 5
/
ATOMIC_SPECIES
S 32.06 S.upf
Au 196.97 Au.upf
Se 78.96 Se.upf
Sr 87.62 Sr.upf
Er 167.26 Er.upf
CELL_PARAMETERS angstrom
2.0112 -6.8335 0.0000
2.0112 6.8335 0.0000
0.0000 0.0000 10.5590
ATOMIC_POSITIONS angstrom
S 2.0113 4.9992 0.5784
S 2.0113 -4.9992 9.9807
S 2.0113 -4.9992 5.8579
S 2.0113 4.9992 4.7012
Au 2.0112 -6.3690 7.9193
Au 2.0112 6.3690 2.6398
Se 2.0112 1.3037 2.6398
Se 2.0112 -1.3037 7.9193
Sr 2.0112 -3.1864 2.6398
Sr 2.0112 3.1864 7.9193
Er 2.0113 0.0000 0.0000
Er 2.0113 0.0000 5.2795
! Total DFT energy (no corrections)   -5.040 eV/atom
! Space group   Cmcm (63)

=====

! Pr2Nd2CI3Br2 (PBE, optimized geometry); values from VASP
&SYSTEM
  ibrav = 0, nat = 10, ntyp = 5
/
ATOMIC_SPECIES
Br 79.90 Br.upf
I 126.90 I.upf
C 12.01 C.upf
Nd 144.24 Nd.upf
Pr 140.91 Pr.upf
CELL_PARAMETERS angstrom
9.3911 -2.0374 0.0000
9.3911 2.0374 0.0000
-1.9655 0.0000 8.6390
ATOMIC_POSITIONS angstrom
Br 1.5320 0.0000 7.1992
Br 15.2847 0.0000 1.4399
I 8.4084 0.0000 4.3195
I 2.4860 0.0000 2.9985
I 14.3307 0.0000 5.6405
C 9.3911 0.0000 0.0000
Nd 18.3640 0.0000 1.6824
Nd -1.5472 0.0000 6.9567
Pr 11.8747 0.0000 0.5717
Pr 4.9421 0.0000 8.0674
! Total DFT energy (no corrections)   -4.871 eV/atom
! Energy above the lowest structure with this stoichiometry   8 meV per atom
! Space group   C2/m (12)

=====

! RbHfCuTe2S (PBE, optimized geometry); values from VASP
&SYSTEM
  ibrav = 0, nat = 12, ntyp = 5
/
ATOMIC_SPECIES
Te 127.60 Te.upf
Cu 63.55 Cu.upf
Hf 178.49 Hf.upf
S 32.06 S.upf
Rb 85.47 Rb.upf
CELL_PARAMETERS angstrom
2.0132 -8.1666 0.0000
2.0132 8.1666 0.0000
0.0000 0.0000 10.1483
ATOMIC_POSITIONS angstrom
Te 2.0131 2.0363 0.4685
Te 2.0131 -2.0363 5.5427
Te 2.0131 -2.0363 9.6798
Te 2.0131 2.0363 4.6056
Cu 2.0132 0.4683 2.5371
Cu 2.0132 -0.4683 7.6112
Hf 0.0000 0.0000 5.0742
Hf 0.0000 0.0000 0.0000
S 2.0132 -7.4290 7.6112
S 2.0132 7.4290 2.5371
Rb 2.0132 -3.8064 2.5371
Rb 2.0132 3.8064 7.6112
! Total DFT energy (no corrections)   -5.077 eV/atom
! Space group   Cmcm (63)

=====

! Er2CuSi (PBE, optimized geometry); values from VASP
&SYSTEM
  ibrav = 0, nat = 8, ntyp = 3
/
ATOMIC_SPECIES
Er 167.26 Er.upf
Si 28.09 Si.upf
Cu 63.55 Cu.upf
CELL_PARAMETERS angstrom
-0.5509 0.5867 -4.0125
-5.4712 -0.9812 0.6077
-1.1500 7.1582 1.2046
ATOMIC_POSITIONS angstrom
Er -5.8545 4.2857 -0.6565
Er -1.1520 1.4468 -1.7172
Er -3.0387 5.5057 1.2223
Er -3.7472 1.6964 0.7625
Si -3.7353 -0.0647 -1.5836
Si -2.9438 3.7595 -1.1330
Cu -5.8905 6.0488 1.6932
Cu -1.2247 3.2033 0.6366
! Total DFT energy (no corrections)   -5.108 eV/atom
! Space group   Pmc2_1 (26)

=====

! Cu5Ag4 (PBE, optimized geometry); values from VASP
&SYSTEM
  ibrav = 0, nat = 9, ntyp = 2
/
ATOMIC_SPECIES
Cu 63.55 Cu.upf
Ag 107.87 Ag.upf
CELL_PARAMETERS angstrom
7.1564 -1.3870 0.0000
7.1564 1.3870 0.0000
-0.0570 0.0000 6.6104
ATOMIC_POSITIONS angstrom
Cu 8.0177 0.0000 2.1080
Cu 3.0812 0.0000 2.0868
Cu 0.1134 0.0000 0.0974
Cu 4.6622 0.0000 0.0235
Cu 9.5447 0.0000 0.0746
Ag 11.0716 0.0000 4.4013
Ag 6.3253 0.0000 4.5372
Ag 1.5435 0.0000 4.3919
Ag 12.7208 0.0000 2.1105
! Total DFT energy (no corrections)   -3.214 eV/atom
! Energy above the lowest structure with this stoichiometry   66 meV per atom
! Space group   Cm (8)
! E_form   1.0 eV/f.u.

=====

! ZrGa2Pt2 (PBE, optimized geometry); values from VASP
&SYSTEM
  ibrav = 0, nat = 5, ntyp = 3
/
ATOMIC_SPECIES
Pt 195.08 Pt.upf
Ga 69.72 Ga.upf
Zr 91.22 Zr.upf
CELL_PARAMETERS angstrom
6.2765 -1.9302 0.2316
4.7402 1.1409 4.4049
-6.2402 -1.8218 -0.9566
ATOMIC_POSITIONS angstrom
Pt 4.3190 -0.3094 1.8177
Pt 6.6977 -0.4799 2.8188
Ga 2.0041 -0.5378 2.8833
Ga 2.7723 -2.0733 0.7966
Zr 0.0000 0.0000 0.0000
! Total DFT energy (no corrections)   -6.039 eV/atom
! Space group   I4/mmm (139)

=====

! K3RbNi2As2 (PBE, optimized geometry); values from VASP
&SYSTEM
  ibrav = 0, nat = 8, ntyp = 4
/
ATOMIC_SPECIES
K 39.10 K.upf
As 74.92 As.upf
Ni 58.69 Ni.upf
Rb 85.47 Rb.upf
CELL_PARAMETERS angstrom
6.2970 0.0000 0.0000
0.0000 5.9626 0.0000
-1.8701 0.0000 6.1473
ATOMIC_POSITIONS angstrom
K 0.1893 2.9813 3.1567
K 2.9723 2.9813 1.0913
K 4.2462 0.0000 3.0201
As 0.9083 0.0000 1.3814
As 3.4020 2.9813 4.6165
Ni 0.0477 1.6974 0.0648
Ni 0.0477 4.2652 0.0648
Rb 1.4672 0.0000 5.0465
! Total DFT energy (no corrections)   -3.318 eV/atom
! Space group   Pm (6)

=====

! PmThHg (PBE, optimized geometry); values from VASP
&SYSTEM
  ibrav = 0, nat = 3, ntyp = 3
/
ATOMIC_SPECIES
Th 232.04 Th.upf
Hg 200.59 Hg.upf
Pm 145.00 Pm.upf
CELL_PARAMETERS angstrom
3.5589 -1.3854 3.5454
-0.7244 -4.2788 2.8848
2.9664 -4.2102 -0.7933
ATOMIC_POSITIONS angstrom
Th 4.3507 -7.4058 4.2276
Hg 0.0000 0.0000 0.0000
Pm 1.4502 -2.4686 1.4092
! Total DFT energy (no corrections)   -4.062 eV/atom
! Energy above the lowest structure with this stoichiometry   0 meV per atom
! Space group   F-43m (216)
! E_form   0.3 eV/f.u.

=====

! ScSiTc (PBE, optimized geometry); values from VASP
&SYSTEM
  ibrav = 0, nat = 3, ntyp = 3
/
ATOMIC_SPECIES
Tc 98.00 Tc.upf
Si 28.09 Si.upf
Sc 44.96 Sc.upf
CELL_PARAMETERS angstrom
-1.6168 1.6168 4.6061
1.6168 -1.6168 4.6061
1.6168 1.6168 -4.6061
ATOMIC_POSITIONS angstrom
Tc 0.0000 0.0000 0.2331
Si 0.0000 0.0000 5.9011
Sc 0.0000 0.0000 3.0779
! Total DFT energy (no corrections)   -7.987 eV/atom
! Energy above the lowest structure with this stoichiometry   0 meV per atom
! Space group   I4mm (107)

=====

! Y2Hg2Pd (PBE, optimized geometry); values from VASP
&SYSTEM
  ibrav = 0, nat = 10, ntyp = 3
/
ATOMIC_SPECIES
Y 88.91 Y.upf
Hg 200.59 Hg.upf
Pd 106.42 Pd.upf
CELL_PARAMETERS angstrom
-0.8636 5.1536 5.6915
0.7753 -5.6396 5.2243
4.3172 0.6528 0.0640
ATOMIC_POSITIONS angstrom
Y -0.4614 2.4143 6.4971
Y 0.0722 -1.2765 8.1473
Y -0.1606 0.7906 2.7684
Y 0.3730 -2.9002 4.4187
Hg 1.9113 1.1545 8.2704
Hg 2.5144 -2.6686 6.5792
Hg 1.7145 2.8354 4.4005
Hg 2.3176 -0.9877 2.7093
Pd 0.0000 0.0000 0.0000
Pd -0.0442 -0.2430 5.4579
! Total DFT energy (no corrections)   -4.013 eV/atom
! Space group   P4/mbm (127)
! E_form   -1.4 eV/f.u.

=====

! LiZrAlNi (PBE, optimized geometry); values from VASP
&SYSTEM
  ibrav = 0, nat = 4, ntyp = 4
/
ATOMIC_SPECIES
Zr 91.22 Zr.upf
Ni 58.69 Ni.upf
Li 6.94 Li.upf
Al 26.98 Al.upf
CELL_PARAMETERS angstrom
0.0000 3.1106 3.1106
3.1106 0.0000 3.1106
3.1106 3.1106 0.0000
ATOMIC_POSITIONS angstrom
Zr 0.0000 0.0000 0.0000
Ni 3.1106 3.1106 3.1106
Li 4.6659 4.6659 4.6659
Al 1.5553 1.5553 1.5553
! Total DFT energy (no corrections)   -5.091 eV/atom
! Energy above the lowest structure with this stoichiometry   346 meV per atom
! Space group   F-43m (216)

=====

! SmPaMo (PBE, optimized geometry); values from VASP
&SYSTEM
  ibrav = 0, nat = 3, ntyp = 3
/
ATOMIC_SPECIES
Mo 95.94 Mo.upf
Pa 231.04 Pa.upf
Sm 150.36 Sm.upf
CELL_PARAMETERS angstrom
0.0000 3.4275 3.4275
3.4275 0.0000 3.4275
3.4275 3.4275 0.0000
ATOMIC_POSITIONS angstrom
Mo 0.0000 0.0000 0.0000
Pa 1.7137 1.7137 1.7137
Sm 5.1412 5.1412 5.1412
! Total DFT energy (no corrections)   -7.807 eV/atom
! Energy above the lowest structure with this stoichiometry   0 meV per atom
! Space group   F-43m (216)
! E_form   1.6 eV/f.u.

=====

! Lu2SbPt (PBE, optimized geometry); values from VASP
&SYSTEM
  ibrav = 0, nat = 4, ntyp = 3
/
ATOMIC_SPECIES
Sb 121.76 Sb.upf
Lu 174.97 Lu.upf
Pt 195.08 Pt.upf
CELL_PARAMETERS angstrom
-4.0764 -2.1673 2.0010
-3.4247 2.8069 2.3898
-4.5232 0.7544 -2.0711
ATOMIC_POSITIONS angstrom
Sb -6.0122 0.6970 1.1599
Lu -9.0183 1.0455 1.7398
Lu 0.0000 0.0000 0.0000
Pt -3.0061 0.3485 0.5799
! Total DFT energy (no corrections)   -5.174 eV/atom
! Space group   F-43m (216)

=====

! KTmGeS3 (PBE, optimized geometry); values from VASP
&SYSTEM
  ibrav = 0, nat = 12, ntyp = 4
/
ATOMIC_SPECIES
K 39.10 K.upf
S 32.06 S.upf
Tm 168.93 Tm.upf
Ge 72.64 Ge.upf
CELL_PARAMETERS angstrom
0.5894 7.9514 0.5082
-4.0227 -6.8523 0.8333
3.7406 -0.9383 10.3417
ATOMIC_POSITIONS angstrom
K 2.5065 4.3960 8.3271
K -2.1991 -4.2353 3.3561
S 1.8713 5.7370 5.6030
S -0.8086 0.2278 3.2581
S 1.1160 -0.0670 8.4251
S -1.5639 -5.5762 6.0802
S 0.2235 -6.0246 11.0219
S 0.0839 6.1853 0.6614
Tm 0.1537 0.0804 5.8416
Tm -1.7166 0.5495 0.6708
Ge -0.7132 -5.9384 8.5541
Ge 1.0206 6.0992 3.1292
! Total DFT energy (no corrections)   -4.957 eV/atom
! Energy above the lowest structure with this stoichiometry   152 meV per atom
! Space group   Cmcm (63)

=====

! BaSmAgSeS2 (PBE, optimized geometry); values from VASP
&SYSTEM
  ibrav = 0, nat = 12, ntyp = 5
/
ATOMIC_SPECIES
Se 78.96 Se.upf
Sm 150.36 Sm.upf
Ag 107.87 Ag.upf
S 32.06 S.upf
Ba 137.33 Ba.upf
CELL_PARAMETERS angstrom
-3.3077 6.1056 2.5747
2.4856 -3.7030 -5.9125
-9.6358 -4.7724 -1.0619
ATOMIC_POSITIONS angstrom
Se -3.3306 0.8726 -1.1864
Se -7.1273 -3.2424 -3.2133
Sm -5.2289 -1.1849 -2.1999
Sm -0.4111 1.2013 -1.6689
Ag -4.8983 -7.0163 -6.4788
Ag -5.5596 4.6465 2.0790
S -6.8014 2.7305 1.0057
S -3.1287 4.5495 1.4105
S -3.6565 -5.1003 -5.4055
S -7.3292 -6.9193 -5.8102
Ba -9.0220 -0.0346 -0.4377
Ba -1.4359 -2.3352 -3.9621
! Total DFT energy (no corrections)   -5.118 eV/atom
! Space group   Cmcm (63)

=====

! SrYAgTe3 (PBE, optimized geometry); values from VASP
&SYSTEM
  ibrav = 0, nat = 12, ntyp = 4
/
ATOMIC_SPECIES
Te 127.60 Te.upf
Ag 107.87 Ag.upf
Y 88.91 Y.upf
Sr 87.62 Sr.upf
CELL_PARAMETERS angstrom
-2.3158 6.9564 4.2704
-3.4809 0.4278 -2.5845
-4.6516 -8.1909 4.9094
ATOMIC_POSITIONS angstrom
Te -7.7264 1.5093 5.1485
Te -3.8068 1.1477 3.4813
Te -6.6415 -1.9545 3.1140
Te -4.6016 5.4346 1.5895
Te -2.7219 -2.3161 1.4468
Te -5.8467 -6.2413 5.0058
Ag -7.8035 -4.2266 4.3031
Ag -2.6448 3.4198 2.2923
Y -6.0454 3.2210 3.1677
Y -4.4029 -4.0278 3.4276
Sr -6.2527 -1.2246 6.3830
Sr -4.1956 0.4178 0.2123
! Total DFT energy (no corrections)   -4.619 eV/atom
! Space group   P2_1/m (11)

=====

! AlMo2W (PBE, optimized geometry); values from VASP
&SYSTEM
  ibrav = 0, nat = 8, ntyp = 3
/
ATOMIC_SPECIES
Mo 95.94 Mo.upf
Al 26.98 Al.upf
W 183.84 W.upf
CELL_PARAMETERS angstrom
4.9603 0.0000 0.0000
0.0000 3.5327 3.5333
0.0000 -3.5327 3.5333
ATOMIC_POSITIONS angstrom
Mo 0.0000 0.0000 3.5286
Mo 1.2401 2.6477 2.6527
Mo 2.4801 0.0000 3.5286
Mo 3.7202 -2.6477 2.6527
Al 3.7202 -1.7635 5.3002
Al 1.2401 1.7635 5.3002
W 1.2401 0.8798 0.8852
W 3.7202 -0.8798 0.8852
! Total DFT energy (no corrections)   -9.783 eV/atom
! Space group   Ama2 (40)

=====

! LaEr2In3CuAg2 (PBE, optimized geometry); values from VASP
&SYSTEM
  ibrav = 0, nat = 9, ntyp = 5
/
ATOMIC_SPECIES
In 114.82 In.upf
Ag 107.87 Ag.upf
Er 167.26 Er.upf
Cu 63.55 Cu.upf
La 138.91 La.upf
CELL_PARAMETERS angstrom
3.9436 0.0000 0.0000
0.0000 6.8380 3.9133
0.0000 -6.8380 3.9133
ATOMIC_POSITIONS angstrom
In 1.9718 5.0997 4.8562
In 1.9718 -5.0997 4.8562
In 1.9718 0.0000 5.8994
Ag 1.9718 2.3589 3.9251
Ag 1.9718 -2.3589 3.9251
Er 0.0000 -4.1007 2.3507
Er 0.0000 4.1007 2.3507
Cu 0.0000 0.0000 7.7964
La 0.0000 0.0000 3.1730
! Total DFT energy (no corrections)   -3.930 eV/atom
! Space group   Amm2 (38)

=====

! Ga5CoPd (PBE, optimized geometry); values from VASP
&SYSTEM
  ibrav = 0, nat = 7, ntyp = 3
/
ATOMIC_SPECIES
Pd 106.42 Pd.upf
Ga 69.72 Ga.upf
Co 58.93 Co.upf
CELL_PARAMETERS angstrom
-1.8740 -3.4706 -1.9404
1.7889 -2.6516 3.0151
-4.6627 0.6509 3.3388
ATOMIC_POSITIONS angstrom
Pd -2.3314 0.3255 1.6694
Ga -0.3102 -1.1576 2.3702
Ga -0.0425 -3.0611 0.5374
Ga -4.3951 -1.2526 1.5060
Ga -2.1416 -1.5671 -0.1076
Ga -2.5636 -0.8431 3.9838
Co 0.0000 0.0000 0.0000
! Total DFT energy (no corrections)   -4.072 eV/atom
! Space group   P4/mmm (123)

=====

! PmYBr2O2 (PBE, optimized geometry); values from VASP
&SYSTEM
  ibrav = 0, nat = 6, ntyp = 4
/
ATOMIC_SPECIES
O 16.00 O.upf
Br 79.90 Br.upf
Y 88.91 Y.upf
Pm 145.00 Pm.upf
CELL_PARAMETERS angstrom
-1.5267 2.8925 2.1262
-0.1628 -2.3639 3.0990
7.7998 2.4448 2.2748
ATOMIC_POSITIONS angstrom
O -0.0519 -1.1727 1.5581
O -0.7338 1.4555 1.0717
Br 2.5665 0.8044 0.7485
Br 4.3683 1.8983 4.1330
Y 0.2049 0.5933 2.9187
Pm 6.7111 2.1035 1.9573
! Total DFT energy (no corrections)   -6.960 eV/atom
! Space group   P4mm (99)